## one
Density functional theory data (GGA-PBE) for crystalline CeHfPd2 at its relaxed geometry.

Unit cell a=4.6252 b=4.6252 c=5.4138 alpha=64.71 beta=64.71 gamma=60.00
Last column: nearest neighbours and their distance in Å.
Positions (direct):
Ce 0.0000 0.0000 0.0000  8 Pd 3.05-3.14
Hf 0.5000 0.5000 0.5000  6 Pd 2.76
Pd 0.7840 0.7840 0.6481  3 Hf 2.76, 3 Pd 3.01, 1 Ce 3.05
Pd 0.2160 0.2160 0.3519  3 Hf 2.76, 3 Pd 3.01, 1 Ce 3.05

Results
size of the total moment	0.160	μB per atom

=====

## two
Density functional theory data (GGA-PBE) for crystalline CeHfPd2 at its relaxed geometry.

Unit cell a=3.3155 b=3.3155 c=7.4574 alpha=90.00 beta=90.00 gamma=90.00
Last column: nearest neighbours and their distance in Å.
Positions (direct):
Hf 0.5000 0.5000 0.0000  8 Pd 2.80
Ce 0.5000 0.5000 0.5000  8 Pd 3.21, 4 Ce 3.32
Pd 0.0000 0.0000 0.2058  4 Hf 2.80, 1 Pd 3.07
Pd 0.0000 0.0000 0.7942  4 Hf 2.80, 1 Pd 3.07

Results
size of the total moment	0.256	μB per atom

=====

Least stable: one

=====

## one
Density functional theory data (GGA-PBE) for crystalline Ce2PrHf at its relaxed geometry.

Unit cell a=5.0188 b=4.7284 c=4.7284 alpha=90.00 beta=90.00 gamma=90.00
Last column: nearest neighbours and their distance in Å.
Positions (direct):
Hf 0.5000 0.5000 0.5000  4 Pr 3.34, 8 Ce 3.45
Ce 0.0000 0.0000 0.5000  4 Ce 3.34, 4 Hf 3.45, 4 Pr 3.45
Ce 0.0000 0.5000 0.0000  4 Ce 3.34, 4 Hf 3.45, 4 Pr 3.45
Pr 0.5000 0.0000 0.0000  4 Hf 3.34, 8 Ce 3.45

Results
size of the total moment	0.000	μB per atom

=====

## two
Density functional theory data (GGA-PBE) for crystalline Ce2PrHf at its relaxed geometry.

Unit cell a=3.3034 b=3.3034 c=10.3048 alpha=90.00 beta=90.00 gamma=90.00
Last column: nearest neighbours and their distance in Å.
Positions (direct):
Ce 0.0000 0.0000 0.7704  4 Ce 3.30, 4 Hf 3.32, 4 Pr 3.64
Pr 0.5000 0.5000 0.5000  4 Pr 3.30, 8 Ce 3.64
Ce 0.0000 0.0000 0.2296  4 Ce 3.30, 4 Hf 3.32, 4 Pr 3.64
Hf 0.5000 0.5000 0.0000  4 Hf 3.30, 8 Ce 3.32

Results
size of the total moment	0.001	μB per atom

=====

## three
Density functional theory data (GGA-PBE) for crystalline Ce2PrHf at its relaxed geometry.

Unit cell a=3.3681 b=3.3681 c=11.5380 alpha=81.61 beta=81.61 gamma=60.00
Last column: nearest neighbours and their distance in Å.
Positions (direct):
Hf 0.0000 0.0000 0.0000  6 Ce 3.29, 6 Hf 3.37
Ce 0.2555 0.2555 0.2335  3 Hf 3.29, 6 Ce 3.37, 3 Pr 3.60
Pr 0.5000 0.5000 0.5000  6 Pr 3.37, 6 Ce 3.60
Ce 0.7445 0.7445 0.7665  3 Hf 3.29, 6 Ce 3.37, 3 Pr 3.60

Results
size of the total moment	0.139	μB per atom

=====

Least stable: one